No. 1
First-principles (PBEsol) data for Al2CdCu after structural relaxation, as listed in Alexandria via LeMat-Bulk.

The structure belongs to space group P4/mmm (No. 123); the cell edges are 4.009, 4.009 and 3.995 Å and the angles 90.00°, 90.00° and 90.00°. Symmetry generates all atoms from Al at (0.000, 0.500, 0.000), Cd at (0.000, 0.000, 0.500) and Cu at (0.500, 0.500, 0.500).

The value obtained for the uncorrected energy is -13.356 eV for the cell shown. The value obtained for the formation energy is 0.09 eV per atom.


No. 2
First-principles (PBEsol) data for MoPbCl after structural relaxation, as listed in Alexandria via LeMat-Bulk.

The structure belongs to space group F-43m (No. 216); the cell edges are 6.935, 6.935 and 6.935 Å and the angles 90.00°, 90.00° and 90.00°. Symmetry generates all atoms from Mo at (0.000, 0.000, 0.000), Pb at (0.250, 0.250, 0.250) and Cl at (0.000, 0.000, 0.500).

The value obtained for the uncorrected energy is -54.583 eV for the cell shown. Its energy above the most stable polymorph in this dataset is 1351.2 meV per atom.


No. 3
First-principles (PBEsol) data for CaMgSbTe2 after structural relaxation, as listed in Alexandria via LeMat-Bulk.

The structure belongs to space group P4/mmm (No. 123); the cell edges are 5.804, 5.804 and 5.692 Å and the angles 90.00°, 90.00° and 90.00°. Symmetry generates all atoms from Ca at (0.000, 0.000, 0.000), Mg at (0.500, 0.500, 0.000), Sb at (0.000, 0.000, 0.500) and Te at (0.000, 0.500, 0.500).

The value obtained for the uncorrected energy is -15.048 eV for the cell shown.


N(E_F) in states/eV/cell, matching the order above: 1.39 12.19 3.55